1.
Compound: SrAg3Ir
Source: Alexandria via LeMat-Bulk
Functional: PBE
Structure: relaxed Values from VASP.

Values from the calculation:
E above lowest polymorph: 1.489 eV/atom

Quantum ESPRESSO input file:
```
&SYSTEM
  ibrav = 0, nat = 5, ntyp = 3
/
ATOMIC_SPECIES
Sr 87.62 Sr.upf
Ag 107.87 Ag.upf
Ir 192.22 Ir.upf
CELL_PARAMETERS angstrom
5.2498 0.0000 0.0000
0.0000 5.2498 0.0000
0.0000 0.0000 5.2498
ATOMIC_POSITIONS crystal
Sr 0.0000 0.0000 0.0000
Ag 0.0000 0.0000 0.5000
Ag 0.0000 0.5000 0.0000
Ag 0.5000 0.0000 0.0000
Ir 0.5000 0.5000 0.5000
```



2.
Compound: SiNi
Source: Alexandria via LeMat-Bulk
Functional: PBE
Structure: relaxed Values from VASP.

Values from the calculation:
uncorrected formation energy: -310 meV per atom

Quantum ESPRESSO input file:
```
&SYSTEM
  ibrav = 0, nat = 4, ntyp = 2
/
ATOMIC_SPECIES
Si 28.09 Si.upf
Ni 58.69 Ni.upf
CELL_PARAMETERS angstrom
-1.7405 1.7405 3.7604
1.7405 -1.7405 3.7604
1.7405 1.7405 -3.7604
ATOMIC_POSITIONS crystal
Si 0.3750 0.6250 0.7500
Si 0.6250 0.3750 0.2500
Ni 0.1250 0.8750 0.2500
Ni 0.8750 0.1250 0.7500
```



3.
Compound: LaPrTlAg
Source: Alexandria via LeMat-Bulk
Functional: PBE
Structure: relaxed Values from VASP.

Values from the calculation:
total DFT energy (no corrections): -16.23 eV/f.u.

Quantum ESPRESSO input file:
```
&SYSTEM
  ibrav = 0, nat = 4, ntyp = 4
/
ATOMIC_SPECIES
La 138.91 La.upf
Pr 140.91 Pr.upf
Tl 204.38 Tl.upf
Ag 107.87 Ag.upf
CELL_PARAMETERS angstrom
0.0000 3.8934 3.8934
3.8934 0.0000 3.8934
3.8934 3.8934 0.0000
ATOMIC_POSITIONS crystal
La 0.0000 0.0000 0.0000
Pr 0.5000 0.5000 0.5000
Tl 0.2500 0.2500 0.2500
Ag 0.7500 0.7500 0.7500
```



4.
Compound: Pr6ScTl5
Source: Alexandria via LeMat-Bulk
Functional: PBE
Structure: relaxed Values from VASP.

Values from the calculation:
total DFT energy (no corrections): -50.30 eV/f.u.

Quantum ESPRESSO input file:
```
&SYSTEM
  ibrav = 0, nat = 12, ntyp = 3
/
ATOMIC_SPECIES
Pr 140.91 Pr.upf
Sc 44.96 Sc.upf
Tl 204.38 Tl.upf
CELL_PARAMETERS angstrom
-2.7703 3.9460 8.3889
2.7703 -3.9460 8.3889
2.7703 3.9460 -8.3889
ATOMIC_POSITIONS crystal
Pr 0.0763 0.3298 0.7466
Pr 0.2424 0.0000 0.2424
Pr 0.4168 0.6702 0.7466
Pr 0.5832 0.3298 0.2534
Pr 0.7576 0.0000 0.7576
Pr 0.9237 0.6702 0.2534
Sc 0.5000 0.5000 0.0000
Tl 0.0000 0.5000 0.5000
Tl 0.1672 0.1672 0.0000
Tl 0.3453 0.8453 0.5000
Tl 0.6547 0.1547 0.5000
Tl 0.8328 0.8328 0.0000
```



5.
Compound: SrIrPb2
Source: Alexandria via LeMat-Bulk
Functional: PBE
Structure: relaxed Values from VASP.

Values from the calculation:
total DFT energy (no corrections): -17.48 eV/f.u.

Quantum ESPRESSO input file:
```
&SYSTEM
  ibrav = 0, nat = 4, ntyp = 3
/
ATOMIC_SPECIES
Sr 87.62 Sr.upf
Ir 192.22 Ir.upf
Pb 207.20 Pb.upf
CELL_PARAMETERS angstrom
4.5969 0.0000 0.0000
0.0000 4.6337 0.0000
0.0000 0.0000 4.8157
ATOMIC_POSITIONS crystal
Sr 0.0000 0.0000 0.0000
Ir 0.5000 0.5000 0.0000
Pb 0.0000 0.5000 0.5000
Pb 0.5000 0.0000 0.5000
```



6.
Compound: Li3Al2Au3
Source: Alexandria via LeMat-Bulk
Functional: PBE
Structure: relaxed Values from VASP.

Values from the calculation:
total DFT energy (no corrections): -27.39 eV/f.u.

Quantum ESPRESSO input file:
```
&SYSTEM
  ibrav = 0, nat = 8, ntyp = 3
/
ATOMIC_SPECIES
Li 6.94 Li.upf
Al 26.98 Al.upf
Au 196.97 Au.upf
CELL_PARAMETERS angstrom
2.2133 1.2778 7.2875
-2.2133 1.2778 7.2875
0.0000 -2.5557 7.2875
ATOMIC_POSITIONS crystal
Li 0.0000 0.0000 0.0000
Li 0.1287 0.1287 0.1287
Li 0.6254 0.6254 0.6254
Al 0.3803 0.3803 0.3803
Al 0.8714 0.8714 0.8714
Au 0.2593 0.2593 0.2593
Au 0.5020 0.5020 0.5020
Au 0.7458 0.7458 0.7458
```



7.
Compound: IrRu5
Source: Alexandria via LeMat-Bulk
Functional: PBE
Structure: relaxed Values from VASP.

Values from the calculation:
E above lowest polymorph: 0.008 eV/atom

Quantum ESPRESSO input file:
```
&SYSTEM
  ibrav = 0, nat = 6, ntyp = 2
/
ATOMIC_SPECIES
Ir 192.22 Ir.upf
Ru 101.07 Ru.upf
CELL_PARAMETERS angstrom
4.9252 -1.3660 0.0000
4.9252 1.3660 0.0000
-1.5005 0.0000 6.2331
ATOMIC_POSITIONS crystal
Ir 0.0000 0.0000 0.0000
Ru 0.0555 0.0555 0.6096
Ru 0.3329 0.3329 0.6646
Ru 0.3884 0.3884 0.2788
Ru 0.6675 0.6675 0.3354
Ru 0.7222 0.7222 0.9432
```



8.
Compound: Nb6CrRu
Source: Alexandria via LeMat-Bulk
Functional: PBE
Structure: relaxed Values from VASP.

Values from the calculation:
total DFT energy (no corrections): -80.11 eV/f.u.

Quantum ESPRESSO input file:
```
&SYSTEM
  ibrav = 0, nat = 8, ntyp = 3
/
ATOMIC_SPECIES
Nb 92.91 Nb.upf
Cr 52.00 Cr.upf
Ru 101.07 Ru.upf
CELL_PARAMETERS angstrom
-2.2774 2.2774 6.5218
2.2774 -2.2774 6.5218
2.2774 2.2774 -6.5218
ATOMIC_POSITIONS crystal
Nb 0.1197 0.6197 0.5000
Nb 0.2472 0.2472 0.0000
Nb 0.3803 0.8803 0.5000
Nb 0.6197 0.1197 0.5000
Nb 0.7528 0.7528 0.0000
Nb 0.8803 0.3803 0.5000
Cr 0.0000 0.0000 0.0000
Ru 0.5000 0.5000 0.0000
```



9.
Compound: SmY14Tl
Source: Alexandria via LeMat-Bulk
Functional: PBE
Structure: relaxed Values from VASP.

Values from the calculation:
total DFT energy (no corrections): -97.75 eV/f.u.

Quantum ESPRESSO input file:
```
&SYSTEM
  ibrav = 0, nat = 16, ntyp = 3
/
ATOMIC_SPECIES
Sm 150.36 Sm.upf
Y 88.91 Y.upf
Tl 204.38 Tl.upf
CELL_PARAMETERS angstrom
10.9093 0.0000 0.0000
0.0000 4.2333 5.5325
0.0000 -4.2333 5.5325
ATOMIC_POSITIONS crystal
Sm 0.0000 0.0000 0.0000
Y 0.0000 0.0631 0.4743
Y 0.0000 0.4743 0.0631
Y 0.2216 0.7667 0.7667
Y 0.2424 0.2771 0.6920
Y 0.2424 0.6920 0.2771
Y 0.2750 0.2039 0.2039
Y 0.5000 0.4258 0.4258
Y 0.5000 0.5053 0.9060
Y 0.5000 0.9060 0.5053
Y 0.5000 0.9760 0.9760
Y 0.7250 0.2039 0.2039
Y 0.7576 0.2771 0.6920
Y 0.7576 0.6920 0.2771
Y 0.7784 0.7667 0.7667
Tl 0.0000 0.5517 0.5517
```



10.
Compound: Rb2VIn
Source: Alexandria via LeMat-Bulk
Functional: PBE
Structure: relaxed Values from VASP.

Values from the calculation:
total DFT energy (no corrections): -10.67 eV/f.u.

Quantum ESPRESSO input file:
```
&SYSTEM
  ibrav = 0, nat = 8, ntyp = 3
/
ATOMIC_SPECIES
Rb 85.47 Rb.upf
V 50.94 V.upf
In 114.82 In.upf
CELL_PARAMETERS angstrom
-6.4595 6.4595 2.7235
6.4595 -6.4595 2.7235
6.4595 6.4595 -2.7235
ATOMIC_POSITIONS crystal
Rb 0.3750 0.2187 0.3437
Rb 0.7813 0.1250 0.1563
Rb 0.8750 0.0313 0.6563
Rb 0.9687 0.6250 0.8437
V 0.0000 0.0000 0.0000
V 0.7500 0.2500 0.5000
In 0.2500 0.7500 0.5000
In 0.5000 0.5000 0.0000
```



11.
Compound: Hf2IrCl
Source: Alexandria via LeMat-Bulk
Functional: PBE
Structure: relaxed Values from VASP.

Values from the calculation:
uncorrected formation energy: -114 meV per atom
E above lowest polymorph: 0.297 eV/atom

Quantum ESPRESSO input file:
```
&SYSTEM
  ibrav = 0, nat = 8, ntyp = 3
/
ATOMIC_SPECIES
Hf 178.49 Hf.upf
Ir 192.22 Ir.upf
Cl 35.45 Cl.upf
CELL_PARAMETERS angstrom
-2.6878 2.6878 6.8024
2.6878 -2.6878 6.8024
2.6878 2.6878 -6.8024
ATOMIC_POSITIONS crystal
Hf 0.1202 0.6250 0.9952
Hf 0.3750 0.3702 0.4952
Hf 0.6298 0.1250 0.0048
Hf 0.8750 0.8798 0.5048
Ir 0.0000 0.0000 0.0000
Ir 0.7500 0.2500 0.5000
Cl 0.2500 0.7500 0.5000
Cl 0.5000 0.5000 0.0000
```



12.
Compound: CePN
Source: Alexandria via LeMat-Bulk
Functional: PBE
Structure: relaxed Values from VASP.

Values from the calculation:
uncorrected formation energy: -1139 meV per atom
E above lowest polymorph: 0.000 eV/atom

Quantum ESPRESSO input file:
```
&SYSTEM
  ibrav = 0, nat = 6, ntyp = 3
/
ATOMIC_SPECIES
Ce 140.12 Ce.upf
P 30.97 P.upf
N 14.01 N.upf
CELL_PARAMETERS angstrom
1.9957 -6.5229 0.0000
1.9957 6.5229 0.0000
0.0000 0.0000 4.0354
ATOMIC_POSITIONS crystal
Ce 0.1646 0.8354 0.7500
Ce 0.8354 0.1646 0.2500
P 0.4639 0.5361 0.7500
P 0.5361 0.4639 0.2500
N 0.2514 0.7486 0.2500
N 0.7486 0.2514 0.7500
```



13.
Compound: MgSbRh2
Source: Alexandria via LeMat-Bulk
Functional: PBE
Structure: relaxed Values from VASP.

Values from the calculation:
uncorrected formation energy: -319 meV per atom

Quantum ESPRESSO input file:
```
&SYSTEM
  ibrav = 0, nat = 4, ntyp = 3
/
ATOMIC_SPECIES
Mg 24.30 Mg.upf
Sb 121.76 Sb.upf
Rh 102.91 Rh.upf
CELL_PARAMETERS angstrom
4.2246 -1.6036 0.0000
4.2246 1.6036 0.0000
-1.1329 0.0000 5.0176
ATOMIC_POSITIONS crystal
Mg 0.0000 0.0000 0.0000
Sb 0.5000 0.5000 0.5000
Rh 0.2461 0.2461 0.7436
Rh 0.7539 0.7539 0.2564
```



14.
Compound: MgZrO2
Source: Alexandria via LeMat-Bulk
Functional: PBE
Structure: relaxed Values from VASP.

Values from the calculation:
uncorrected formation energy: -2116 meV per atom

Quantum ESPRESSO input file:
```
&SYSTEM
  ibrav = 0, nat = 8, ntyp = 3
/
ATOMIC_SPECIES
Mg 24.30 Mg.upf
Zr 91.22 Zr.upf
O 16.00 O.upf
CELL_PARAMETERS angstrom
-2.4853 2.4853 4.6790
2.4853 -2.4853 4.6790
2.4853 2.4853 -4.6790
ATOMIC_POSITIONS crystal
Mg 0.0000 0.0000 0.0000
Mg 0.7500 0.2500 0.5000
Zr 0.2500 0.7500 0.5000
Zr 0.5000 0.5000 0.0000
O 0.0986 0.6250 0.9736
O 0.3750 0.3486 0.4736
O 0.6514 0.1250 0.0264
O 0.8750 0.9014 0.5264
```



15.
Compound: Be2Pt3
Source: Alexandria via LeMat-Bulk
Functional: PBE
Structure: relaxed Values from VASP.

Values from the calculation:
E above lowest polymorph: 0.172 eV/atom

Quantum ESPRESSO input file:
```
&SYSTEM
  ibrav = 0, nat = 10, ntyp = 2
/
ATOMIC_SPECIES
Be 9.01 Be.upf
Pt 195.08 Pt.upf
CELL_PARAMETERS angstrom
0.0000 8.7533 1.4274
5.1232 0.0000 1.4274
5.1232 8.7533 0.0000
ATOMIC_POSITIONS crystal
Be 0.1393 0.8607 0.2842
Be 0.5342 0.9658 0.3893
Be 0.8607 0.1393 0.7158
Be 0.9658 0.5342 0.1107
Pt 0.2382 0.2382 0.7618
Pt 0.2403 0.7062 0.4527
Pt 0.4882 0.4882 0.0118
Pt 0.6493 0.7973 0.5438
Pt 0.7062 0.2403 0.6007
Pt 0.7973 0.6493 0.0097
```



16.
Compound: NbCrCo5
Source: Alexandria via LeMat-Bulk
Functional: PBE
Structure: relaxed Values from VASP.

Values from the calculation:
total DFT energy (no corrections): -53.91 eV/f.u.

Quantum ESPRESSO input file:
```
&SYSTEM
  ibrav = 0, nat = 7, ntyp = 3
/
ATOMIC_SPECIES
Nb 92.91 Nb.upf
Cr 52.00 Cr.upf
Co 58.93 Co.upf
CELL_PARAMETERS angstrom
3.7385 0.0000 0.0000
0.0000 3.7385 0.0000
0.0000 0.0000 6.1994
ATOMIC_POSITIONS crystal
Nb 0.0000 0.0000 0.0000
Cr 0.5000 0.5000 0.5000
Co 0.0000 0.5000 0.2882
Co 0.0000 0.5000 0.7118
Co 0.5000 0.0000 0.2882
Co 0.5000 0.0000 0.7118
Co 0.5000 0.5000 0.0000
```



17.
Compound: Mg3Si3Os2
Source: Alexandria via LeMat-Bulk
Functional: PBE
Structure: relaxed Values from VASP.

Values from the calculation:
uncorrected formation energy: -300 meV per atom

Quantum ESPRESSO input file:
```
&SYSTEM
  ibrav = 0, nat = 32, ntyp = 3
/
ATOMIC_SPECIES
Mg 24.30 Mg.upf
Si 28.09 Si.upf
Os 190.23 Os.upf
CELL_PARAMETERS angstrom
7.7642 0.0000 0.0000
0.0000 13.6578 0.0000
0.0000 0.0000 5.3263
ATOMIC_POSITIONS crystal
Mg 0.0481 0.1118 0.0987
Mg 0.0481 0.3882 0.0987
Mg 0.2216 0.2500 0.6205
Mg 0.2784 0.7500 0.1205
Mg 0.4519 0.6118 0.5987
Mg 0.4519 0.8882 0.5987
Mg 0.5481 0.1118 0.4013
Mg 0.5481 0.3882 0.4013
Mg 0.7216 0.2500 0.8795
Mg 0.7784 0.7500 0.3795
Mg 0.9519 0.6118 0.9013
Mg 0.9519 0.8882 0.9013
Si 0.1216 0.7500 0.5936
Si 0.1919 0.0394 0.6456
Si 0.1919 0.4606 0.6456
Si 0.3081 0.5394 0.1456
Si 0.3081 0.9606 0.1456
Si 0.3784 0.2500 0.0936
Si 0.6216 0.7500 0.9064
Si 0.6919 0.0394 0.8544
Si 0.6919 0.4606 0.8544
Si 0.8081 0.5394 0.3544
Si 0.8081 0.9606 0.3544
Si 0.8784 0.2500 0.4064
Os 0.0928 0.5948 0.4092
Os 0.0928 0.9052 0.4092
Os 0.4072 0.0948 0.9092
Os 0.4072 0.4052 0.9092
Os 0.5928 0.5948 0.0908
Os 0.5928 0.9052 0.0908
Os 0.9072 0.0948 0.5908
Os 0.9072 0.4052 0.5908
```



18.
Compound: Gd2CuSe4O12
Source: Alexandria via LeMat-Bulk
Functional: PBE
Structure: relaxed Values from VASP.

Values from the calculation:
uncorrected formation energy: -1545 meV per atom

Quantum ESPRESSO input file:
```
&SYSTEM
  ibrav = 0, nat = 38, ntyp = 4
/
ATOMIC_SPECIES
Gd 157.25 Gd.upf
Cu 63.55 Cu.upf
Se 78.96 Se.upf
O 16.00 O.upf
CELL_PARAMETERS angstrom
10.8938 0.0000 0.0000
0.0000 7.0036 0.0000
-2.7473 0.0000 7.6803
ATOMIC_POSITIONS crystal
Gd 0.0875 0.1564 0.2403
Gd 0.0875 0.3436 0.7403
Gd 0.9125 0.6564 0.2597
Gd 0.9125 0.8436 0.7597
Cu 0.5000 0.0000 0.5000
Cu 0.5000 0.5000 0.0000
Se 0.1814 0.6733 0.1367
Se 0.1814 0.8267 0.6367
Se 0.3644 0.1716 0.1212
Se 0.3644 0.3284 0.6212
Se 0.6356 0.6716 0.3788
Se 0.6356 0.8284 0.8788
Se 0.8186 0.1733 0.3633
Se 0.8186 0.3267 0.8633
O 0.0564 0.6551 0.5859
O 0.0564 0.8449 0.0859
O 0.0981 0.5022 0.2140
O 0.0981 0.9978 0.7140
O 0.1639 0.6112 0.9282
O 0.1639 0.8888 0.4282
O 0.2002 0.2206 0.0301
O 0.2002 0.2794 0.5301
O 0.3480 0.1136 0.3223
O 0.3480 0.3864 0.8223
O 0.4408 0.1089 0.6783
O 0.4408 0.3911 0.1783
O 0.5592 0.6089 0.8217
O 0.5592 0.8911 0.3217
O 0.6520 0.6136 0.1777
O 0.6520 0.8864 0.6777
O 0.7998 0.7206 0.4699
O 0.7998 0.7794 0.9699
O 0.8361 0.1112 0.5718
O 0.8361 0.3888 0.0718
O 0.9019 0.0022 0.2860
O 0.9019 0.4978 0.7860
O 0.9436 0.1551 0.9141
O 0.9436 0.3449 0.4141
```



19.
Compound: TiNb
Source: Alexandria via LeMat-Bulk
Functional: PBE
Structure: relaxed Values from VASP.

Values from the calculation:
total DFT energy (no corrections): -16.27 eV/f.u.

Quantum ESPRESSO input file:
```
&SYSTEM
  ibrav = 0, nat = 2, ntyp = 2
/
ATOMIC_SPECIES
Ti 47.87 Ti.upf
Nb 92.91 Nb.upf
CELL_PARAMETERS angstrom
0.0000 2.6690 2.6690
2.6690 0.0000 2.6690
2.6690 2.6690 0.0000
ATOMIC_POSITIONS crystal
Ti 0.0000 0.0000 0.0000
Nb 0.5000 0.5000 0.5000
```



20.
Compound: K2LaSb
Source: Alexandria via LeMat-Bulk
Functional: PBE
Structure: relaxed Values from VASP.

Values from the calculation:
uncorrected formation energy: 24 meV per atom

Quantum ESPRESSO input file:
```
&SYSTEM
  ibrav = 0, nat = 4, ntyp = 3
/
ATOMIC_SPECIES
K 39.10 K.upf
La 138.91 La.upf
Sb 121.76 Sb.upf
CELL_PARAMETERS angstrom
3.3432 -6.2497 0.0000
3.3432 6.2497 0.0000
0.0000 0.0000 3.7993
ATOMIC_POSITIONS crystal
K 0.0000 0.5000 0.0000
K 0.5000 0.0000 0.0000
La 0.0000 0.0000 0.5000
Sb 0.5000 0.5000 0.5000
```